Material: LaYH3
Method: DFT, meta-GGA SCAN
State: single point on PBEsol structure

DOS(E_F)	1.6	states/eV/f.u.
space-group type	Pm-3m (221)
raw total energy	-0.612	hartree per atom
volume	14.57	Å³ per atom

Cell: 4.1762 4.1762 4.1762 Å, 90.00 90.00 90.00°
Atoms (fractional coordinates):
La (0.0000, 0.0000, 0.0000)
Y (0.5000, 0.5000, 0.5000)
H (0.0000, 0.5000, 0.5000)
H (0.5000, 0.0000, 0.5000)
H (0.5000, 0.5000, 0.0000)

Material: Rb2ScMn2
Method: DFT, meta-GGA SCAN
State: single point on PBEsol structure

calculated formation energy	6.08	eV per formula unit
DOS(E_F)	3.4	states/eV/f.u.
space-group type	I4/mmm (139)
volume	33.61	Å³ per atom

Cell: 6.5612 6.5612 6.5612 Å, 128.55 128.55 75.74°
Atoms (fractional coordinates):
Rb (0.1414, 0.1414, 0.0000)
Rb (0.8586, 0.8586, 0.0000)
Sc (0.5000, 0.5000, 0.0000)
Mn (0.2500, 0.7500, 0.5000)
Mn (0.7500, 0.2500, 0.5000)

- What is the formula in the first record?
  LaYH3

- Which of these has the lowest volume?
  LaYH3